! Y3ErIr4 PBE-GGA relaxed; values from VASP
&SYSTEM
  ibrav = 0, nat = 8, ntyp = 3
/
ATOMIC_SPECIES
Er 167.26 Er.upf
Y 88.91 Y.upf
Ir 192.22 Ir.upf
ATOMIC_POSITIONS angstrom
Er -1.8807 -1.0744 2.0290
Y 1.3273 0.0368 5.5910
Ir 0.0000 0.0000 0.0000
Ir 4.1120 -0.3092 6.6318
Ir 3.2080 1.1112 3.5620
Ir 0.8644 -1.4341 3.0259
Y 3.6562 2.5769 6.1108
Y 0.4381 1.4622 2.5375
CELL_PARAMETERS angstrom
-2.3218 1.8167 1.5243
-1.4396 -3.9656 2.5337
6.4160 2.2224 7.1240
! - crystal system = orthorhombic
! - formation energy (meV per atom) = -802
! - DFT total energy (eV/atom) = -8.2268


! Y3ErIr PBE-GGA relaxed; values from VASP
&SYSTEM
  ibrav = 0, nat = 5, ntyp = 3
/
ATOMIC_SPECIES
Y 88.91 Y.upf
Er 167.26 Er.upf
Ir 192.22 Ir.upf
ATOMIC_POSITIONS angstrom
Y -1.6451 1.3338 1.7015
Y -2.1616 -1.0516 -1.2656
Er -3.7695 -1.8381 2.1340
Y 0.0373 -2.1203 1.6981
Ir 0.0000 0.0000 0.0000
CELL_PARAMETERS angstrom
-4.3233 -2.1032 -2.5312
0.0745 -4.2405 3.3962
-3.2902 2.6676 3.4030
! - energy relative to the lowest polymorph listed for this composition (eV per atom) = 0.101
! - crystal system = cubic
! - formation energy (meV per atom) = -231
! - DFT total energy (eV/atom) = -6.7944


! YEr2Ir2 PBE-GGA relaxed; values from VASP
&SYSTEM
  ibrav = 0, nat = 5, ntyp = 3
/
ATOMIC_SPECIES
Ir 192.22 Ir.upf
Er 167.26 Er.upf
Y 88.91 Y.upf
ATOMIC_POSITIONS angstrom
Ir -3.2414 -3.2648 -2.1225
Er -3.4736 -2.2027 0.5873
Ir -6.0073 -0.7844 0.8643
Er -5.7752 -1.8465 -1.8455
Y -0.9878 -1.4507 -1.6124
CELL_PARAMETERS angstrom
-1.9757 -2.9014 -3.2248
-2.1069 -4.0395 1.4018
-5.1662 2.8917 0.5648
! - energy relative to the lowest polymorph listed for this composition (eV per atom) = 0.000
! - crystal system = trigonal
! - formation energy (meV per atom) = -803
! - DFT total energy (eV/atom) = -7.4650


! Y3ErIr3 PBE-GGA relaxed; values from VASP
&SYSTEM
  ibrav = 0, nat = 7, ntyp = 3
/
ATOMIC_SPECIES
Ir 192.22 Ir.upf
Er 167.26 Er.upf
Y 88.91 Y.upf
ATOMIC_POSITIONS angstrom
Ir -0.8935 -2.4546 2.2222
Er -0.8544 -2.7832 -0.7108
Ir -2.7031 -0.8366 -1.9378
Y -1.8522 1.9282 -1.2301
Ir -1.8916 2.2608 1.7021
Y -0.0442 0.3116 2.9262
Y -2.7430 -0.5052 0.9967
CELL_PARAMETERS angstrom
-3.6951 3.8987 -2.4521
-1.6982 -5.5321 -1.4129
-0.0764 0.6631 5.8669
! - crystal system = trigonal
! - formation energy (meV per atom) = -721
! - DFT total energy (eV/atom) = -7.9409


! Y2ErIr9 PBE-GGA relaxed; values from VASP
&SYSTEM
  ibrav = 0, nat = 12, ntyp = 3
/
ATOMIC_SPECIES
Ir 192.22 Ir.upf
Er 167.26 Er.upf
Y 88.91 Y.upf
ATOMIC_POSITIONS angstrom
Ir 2.6508 1.5304 0.0159
Ir 6.6231 2.2978 2.1609
Ir 3.9800 3.8238 6.6335
Ir 3.9800 2.2978 2.1609
Ir 5.3015 3.0608 4.3972
Er 0.0000 0.0000 0.0000
Ir 5.3015 1.5348 6.6335
Y 2.6508 1.5304 5.1233
Ir 6.6231 3.8238 6.6335
Ir 5.3015 4.5869 2.1609
Y 7.9523 4.5913 3.6712
Ir 7.9523 4.5913 8.7786
CELL_PARAMETERS angstrom
5.3015 0.0000 0.0000
2.6508 4.5913 0.0000
2.6508 1.5304 8.7945
! - crystal system = trigonal
! - formation energy (meV per atom) = -577
! - DFT total energy (eV/atom) = -8.6801


! Er3Zn2Ir PBE-GGA relaxed; values from VASP
&SYSTEM
  ibrav = 0, nat = 6, ntyp = 3
/
ATOMIC_SPECIES
Zn 65.41 Zn.upf
Er 167.26 Er.upf
Ir 192.22 Ir.upf
ATOMIC_POSITIONS angstrom
Zn 0.9746 -2.6539 1.0986
Er -0.9978 -2.2353 6.3692
Zn -0.0403 -4.9277 7.5772
Ir 0.4671 -3.7908 4.3379
Er 0.0000 0.0000 0.0000
Er -0.5296 -1.1866 3.3810
CELL_PARAMETERS angstrom
-0.8866 -3.1502 -1.2445
3.3482 -1.0095 0.1702
-1.5274 -3.4219 9.7501
! - energy relative to the lowest polymorph listed for this composition (eV per atom) = 0.024
! - crystal system = tetragonal
! - formation energy (meV per atom) = -559
! - DFT total energy (eV/atom) = -4.7421


! Er3ZnIr3 PBE-GGA relaxed; values from VASP
&SYSTEM
  ibrav = 0, nat = 14, ntyp = 3
/
ATOMIC_SPECIES
Ir 192.22 Ir.upf
Zn 65.41 Zn.upf
Er 167.26 Er.upf
ATOMIC_POSITIONS angstrom
Ir 0.5716 -10.7263 -0.5451
Zn -0.4990 -6.9867 1.2918
Er 2.9397 -12.0046 0.6423
Er 2.8456 -10.6481 -2.5640
Er -0.4416 -6.2162 -1.9877
Ir 0.3881 -1.3613 -0.6475
Er -1.2274 -3.7806 0.3745
Ir 1.0466 -3.7024 -1.6443
Zn -2.0044 -0.4990 -0.1523
Ir 0.2745 -8.9492 -2.4586
Er -1.3215 -2.4241 -2.8318
Ir 1.3437 -5.4795 0.2692
Er 2.0598 -8.2125 -0.2018
Ir 1.2301 -13.0674 -1.5419
CELL_PARAMETERS angstrom
-4.0087 -0.9980 -0.3046
2.6162 -0.4554 -4.7730
3.0107 -12.9754 2.8882
! - crystal system = orthorhombic
! - formation energy (meV per atom) = -815
! - DFT total energy (eV/atom) = -6.7502


! Er3Zn2Ir PBE-GGA relaxed; values from VASP
&SYSTEM
  ibrav = 0, nat = 6, ntyp = 3
/
ATOMIC_SPECIES
Zn 65.41 Zn.upf
Er 167.26 Er.upf
Ir 192.22 Ir.upf
ATOMIC_POSITIONS angstrom
Zn 0.0000 2.8299 3.9289
Er 0.0000 0.0000 3.0309
Er 2.4508 1.4150 5.1292
Ir 0.0000 0.0000 0.0000
Er 0.0000 2.8299 0.9325
Zn 2.4508 1.4150 2.1329
CELL_PARAMETERS angstrom
4.9016 0.0000 0.0000
-2.4508 4.2449 0.0000
0.0000 0.0000 6.0617
! - energy relative to the lowest polymorph listed for this composition (eV per atom) = 0.000
! - crystal system = trigonal
! - formation energy (meV per atom) = -583
! - DFT total energy (eV/atom) = -4.7660


! Er3ZnIr2 PBE-GGA relaxed; values from VASP
&SYSTEM
  ibrav = 0, nat = 12, ntyp = 3
/
ATOMIC_SPECIES
Zn 65.41 Zn.upf
Ir 192.22 Ir.upf
Er 167.26 Er.upf
ATOMIC_POSITIONS angstrom
Zn 0.0000 2.8003 7.9669
Ir 0.0000 0.0000 0.0000
Er 0.0000 0.0000 2.9069
Er 0.0000 0.0000 9.0322
Er 2.4251 1.4001 0.9389
Ir 2.4251 1.4001 9.9110
Er 0.0000 2.8003 4.9700
Ir 0.0000 2.8003 2.0280
Er 0.0000 2.8003 11.0001
Er 2.4251 1.4001 6.9690
Zn 2.4251 1.4001 3.9721
Ir 0.0000 0.0000 5.9695
CELL_PARAMETERS angstrom
4.8503 0.0000 0.0000
-2.4251 4.2005 0.0000
0.0000 0.0000 11.9390
! - crystal system = trigonal
! - formation energy (meV per atom) = -750
! - DFT total energy (eV/atom) = -6.1977


! Er4ZnIr4 PBE-GGA relaxed; values from VASP
&SYSTEM
  ibrav = 0, nat = 18, ntyp = 3
/
ATOMIC_SPECIES
Er 167.26 Er.upf
Ir 192.22 Ir.upf
Zn 65.41 Zn.upf
ATOMIC_POSITIONS angstrom
Er -6.2624 -1.5982 4.1263
Ir -2.1418 -3.2339 6.2743
Er -4.1783 -1.5655 7.1891
Ir -5.1711 2.5225 -0.2464
Er -4.2572 -4.3754 4.7758
Er -9.0324 0.5516 2.0999
Ir -6.4480 -3.1058 6.4632
Ir -7.5440 2.2874 3.7800
Zn -4.7822 -1.7824 0.3522
Er -2.5867 -1.1349 4.1169
Ir -4.0750 -2.8707 2.4368
Zn -6.8369 1.1991 5.8646
Ir -4.6266 0.5306 5.0296
Er -7.4408 0.9822 -0.9723
Ir -9.4773 2.6506 -0.0575
Er -5.3566 1.0149 2.0905
Er -7.3618 3.7921 1.4410
Ir -6.9925 -1.1139 1.1872
CELL_PARAMETERS angstrom
-3.7548 -3.2732 -2.4040
-1.9662 -3.2899 7.5505
-5.8982 5.9798 1.0703
! - crystal system = tetragonal
! - formation energy (meV per atom) = -602
! - DFT total energy (eV/atom) = -6.7098


! ErZn2Ir PBE-GGA relaxed; values from VASP
&SYSTEM
  ibrav = 0, nat = 4, ntyp = 3
/
ATOMIC_SPECIES
Ir 192.22 Ir.upf
Er 167.26 Er.upf
Zn 65.41 Zn.upf
ATOMIC_POSITIONS angstrom
Ir 1.4026 1.5057 5.1964
Er 0.0000 0.0000 0.0000
Zn 2.1039 2.2585 7.7946
Zn 0.7013 0.7528 2.5982
CELL_PARAMETERS angstrom
-1.5912 0.8388 4.1939
2.5012 -1.1064 3.6530
1.8951 3.2790 2.5459
! - crystal system = cubic
! - formation energy (meV per atom) = -404
! - DFT total energy (eV/atom) = -4.3973


! Er4ZnIr3 PBE-GGA relaxed; values from VASP
&SYSTEM
  ibrav = 0, nat = 8, ntyp = 3
/
ATOMIC_SPECIES
Er 167.26 Er.upf
Ir 192.22 Ir.upf
Zn 65.41 Zn.upf
ATOMIC_POSITIONS angstrom
Er 2.1413 2.9906 8.1204
Er 0.4883 1.7733 5.3830
Ir 5.0237 3.6671 8.2143
Er 4.4989 1.8852 2.8302
Er 6.1519 3.1025 5.5676
Ir 1.6164 1.2087 2.7362
Ir 3.3201 2.4379 5.4753
Zn 0.0000 0.0000 0.0000
CELL_PARAMETERS angstrom
-0.9086 3.4114 3.3133
0.1073 -1.1114 4.7111
7.4415 2.5757 2.9261
! - crystal system = trigonal
! - formation energy (meV per atom) = -798
! - DFT total energy (eV/atom) = -6.5611


! ErZn11Ir PBE-GGA relaxed; values from VASP
&SYSTEM
  ibrav = 0, nat = 13, ntyp = 3
/
ATOMIC_SPECIES
Zn 65.41 Zn.upf
Ir 192.22 Ir.upf
Er 167.26 Er.upf
ATOMIC_POSITIONS angstrom
Zn 0.2782 -2.2629 2.5674
Zn -2.7673 -4.5793 0.4295
Zn -4.1109 -3.4028 2.8028
Zn -1.8941 -2.4119 3.9875
Zn -5.4574 -4.8764 5.3471
Zn -5.5342 -4.7720 0.7984
Ir -4.3906 -2.4650 0.3210
Zn -2.6905 -4.6836 4.9782
Er 0.0000 0.0000 0.0000
Zn -6.1598 -7.4018 4.3241
Zn -2.2182 -2.3159 -1.0992
Zn -2.0649 -2.0538 1.4525
Zn -4.1138 -6.0529 2.9739
CELL_PARAMETERS angstrom
-4.3446 -0.2981 2.8403
-4.4365 -4.6319 -2.1984
0.5564 -4.5257 5.1347
! - crystal system = monoclinic
! - formation energy (meV per atom) = -216
! - DFT total energy (eV/atom) = -2.3262


! Er8ZnIr2 PBE-GGA relaxed; values from VASP
&SYSTEM
  ibrav = 0, nat = 11, ntyp = 3
/
ATOMIC_SPECIES
Er 167.26 Er.upf
Ir 192.22 Ir.upf
Zn 65.41 Zn.upf
ATOMIC_POSITIONS angstrom
Er 0.7161 6.5320 2.1383
Er 3.3544 4.4571 2.3542
Ir 2.2574 2.2218 4.0287
Er 5.0838 1.8137 4.3529
Er 2.6043 2.4143 -0.9071
Er 4.1199 5.4542 -1.1661
Er 3.0916 0.5737 1.8833
Zn 0.0183 0.0218 0.0112
Ir 1.5526 4.8839 -0.0069
Er 1.2036 4.6909 4.9295
Er 0.4570 2.6507 1.6687
CELL_PARAMETERS angstrom
5.3925 0.1647 -0.8331
-1.7161 6.9693 -2.9244
0.1479 -0.0710 7.7487
! - crystal system = monoclinic
! - formation energy (meV per atom) = -383
! - DFT total energy (eV/atom) = -5.4283


! ErZnIr PBE-GGA relaxed; values from VASP
&SYSTEM
  ibrav = 0, nat = 3, ntyp = 3
/
ATOMIC_SPECIES
Ir 192.22 Ir.upf
Er 167.26 Er.upf
Zn 65.41 Zn.upf
ATOMIC_POSITIONS angstrom
Ir 0.5555 0.0000 0.0000
Er 2.2205 0.0000 2.5548
Zn 0.5548 2.2125 1.2774
CELL_PARAMETERS angstrom
3.3309 0.0000 0.0000
0.0000 4.4250 0.0000
0.0000 -2.2125 3.8321
! - crystal system = hexagonal
! - formation energy (meV per atom) = -595
! - DFT total energy (eV/atom) = -5.4940


! ErZnIr PBE-GGA relaxed; values from VASP
&SYSTEM
  ibrav = 0, nat = 6, ntyp = 3
/
ATOMIC_SPECIES
Ir 192.22 Ir.upf
Zn 65.41 Zn.upf
Er 167.26 Er.upf
ATOMIC_POSITIONS angstrom
Ir 5.6832 2.2095 4.5760
Ir 8.3354 2.2082 4.5757
Zn 7.0099 3.6139 2.8247
Er 9.6595 4.6719 4.4980
Zn 4.3580 4.8049 1.3320
Er 4.3579 1.7452 2.1550
CELL_PARAMETERS angstrom
5.3040 -0.0019 -0.0015
2.6497 4.9275 -0.1615
2.6497 0.9346 4.8405
! - crystal system = orthorhombic
! - formation energy (meV per atom) = -418
! - DFT total energy (eV/atom) = -5.3171


! ErZn6Ir2 PBE-GGA relaxed; values from VASP
&SYSTEM
  ibrav = 0, nat = 9, ntyp = 3
/
ATOMIC_SPECIES
Zn 65.41 Zn.upf
Ir 192.22 Ir.upf
Er 167.26 Er.upf
ATOMIC_POSITIONS angstrom
Zn -1.4384 -5.2733 2.0877
Zn 1.3479 -5.2864 2.1148
Zn 1.3506 -9.5383 -0.2262
Ir -0.0668 -9.6645 2.1913
Ir -0.0210 -5.1471 -0.3298
Er 0.0000 0.0000 0.0000
Zn -1.4357 -9.5252 -0.2533
Zn -1.2108 -7.4003 0.9194
Zn 1.1230 -7.4113 0.9421
CELL_PARAMETERS angstrom
-0.0473 -2.1160 3.8432
-2.8238 -6.3346 -1.0181
2.7834 -6.3610 -0.9636
! - crystal system = orthorhombic
! - formation energy (meV per atom) = -195
! - DFT total energy (eV/atom) = -3.5204


! Er2Zn15Ir2 PBE-GGA relaxed; values from VASP
&SYSTEM
  ibrav = 0, nat = 19, ntyp = 3
/
ATOMIC_SPECIES
Zn 65.41 Zn.upf
Er 167.26 Er.upf
Ir 192.22 Ir.upf
ATOMIC_POSITIONS angstrom
Zn -3.1486 -0.2377 1.1970
Zn -6.2742 1.5052 -2.0615
Zn -1.4642 1.9813 -2.3095
Zn -3.8857 2.7014 -2.6260
Zn -5.3398 0.7859 0.4010
Zn -4.1810 -0.7026 -5.2826
Zn -5.8475 -2.8980 -1.8135
Er -3.7134 -0.4773 -2.0859
Zn -7.1103 -0.7486 -1.0600
Zn -2.3109 -2.4089 -4.2601
Zn -5.0172 -2.9565 -4.2811
Zn -5.4438 1.4467 -4.5291
Zn -1.0329 -2.4693 -2.0588
Er -7.5779 -0.9740 -4.2567
Zn -5.0947 -1.7437 0.5435
Ir -10.0461 -1.2912 -5.6431
Zn -2.6832 1.4331 -4.4765
Zn -3.2683 -3.6702 -2.2672
Ir -1.2453 -0.1601 -0.6995
CELL_PARAMETERS angstrom
-2.9283 3.9626 -4.6189
-2.0658 -4.9385 -4.1177
-6.2972 -0.4754 2.3940
! - crystal system = trigonal
! - formation energy (meV per atom) = -246
! - DFT total energy (eV/atom) = -2.6645


! Er4ZnIr PBE-GGA relaxed; values from VASP
&SYSTEM
  ibrav = 0, nat = 24, ntyp = 3
/
ATOMIC_SPECIES
Er 167.26 Er.upf
Zn 65.41 Zn.upf
Ir 192.22 Ir.upf
ATOMIC_POSITIONS angstrom
Er 7.1308 1.4378 12.3509
Er 8.8299 6.2437 9.4079
Er 7.1308 1.4378 6.4649
Er 3.7325 6.2437 12.3509
Er 10.2307 7.2342 14.1118
Er 7.1058 7.2342 15.9160
Zn 1.8622 1.3168 6.1824
Ir 6.5945 4.6630 7.3938
Ir 3.1060 4.6630 9.4079
Er 3.7325 6.2437 6.4649
Er 7.6890 3.0427 9.4079
Zn 2.7158 3.7311 4.7039
Er 6.0642 4.2880 14.1118
Er 4.3030 3.0427 11.3628
Er 9.1891 4.2880 12.3077
Er 9.1891 4.2880 15.9160
Er 4.3030 3.0427 7.4530
Ir 5.4316 1.3740 9.4079
Zn 1.8622 1.3168 3.2255
Er 7.1058 7.2342 12.3077
Er 2.0334 1.4378 9.4079
Er 5.4316 6.2350 9.4079
Ir 6.5945 4.6630 11.4219
Zn 4.4230 1.3168 4.7039
CELL_PARAMETERS angstrom
8.1475 0.0000 4.7039
2.7158 7.6815 4.7039
0.0000 0.0000 9.4079
! - energy relative to the lowest polymorph listed for this composition (eV per atom) = 0.000
! - crystal system = cubic
! - formation energy (meV per atom) = -515
! - DFT total energy (eV/atom) = -5.2464


! ErZn6Ir4 PBE-GGA relaxed; values from VASP
&SYSTEM
  ibrav = 0, nat = 11, ntyp = 3
/
ATOMIC_SPECIES
Zn 65.41 Zn.upf
Ir 192.22 Ir.upf
Er 167.26 Er.upf
ATOMIC_POSITIONS angstrom
Zn -0.6323 1.7597 2.5879
Ir 1.7547 1.3984 2.0566
Zn 1.7051 -1.0339 2.6151
Er 0.0000 0.0000 0.0000
Zn -4.5530 1.3844 4.9959
Zn -4.5530 4.1370 3.1243
Zn 3.5400 0.3232 0.4753
Zn 1.7051 2.8121 0.0000
Ir -2.7741 0.2985 3.4146
Ir -2.7741 3.0657 1.5330
Ir -2.4047 2.8417 4.1792
CELL_PARAMETERS angstrom
6.6131 -0.1639 -0.2410
-3.2029 5.7880 0.2410
-3.2029 -1.9039 5.4712
! - crystal system = tetragonal
! - formation energy (meV per atom) = -70
! - DFT total energy (eV/atom) = -4.4019